Density functional theory data (PBE) for an optimized crystal structure of ZrOs2W2.

Summary:
Space-group type ... P4/mbm, No. 127
E ... -11.3114 eV/atom
D(E_F) ... 6.5 states/eV/cell
Distance to the lowest polymorph of the same formula ... 0 meV/atom
Energy of formation ... 0.071 eV per atom

Lattice parameters (Å, degrees): 7.670 7.670 2.886 90.00 90.00 90.00
Sites, in units of the cell vectors:
Zr1 0.000 0.000 0.000
Zr2 0.500 0.500 0.000
Os1 0.145 0.645 0.500
Os2 0.645 0.855 0.500
Os3 0.855 0.355 0.500
Os4 0.355 0.145 0.500
W1 0.849 0.651 0.000
W2 0.651 0.151 0.000
W3 0.349 0.849 0.000
W4 0.151 0.349 0.000



Density functional theory data (PBE) for an optimized crystal structure of AcInPtPb.

Summary:
Space-group type ... F-43m, No. 216
E ... -4.5792 eV/atom
D(E_F) ... 1.3 states/eV/cell
Energy of formation ... -0.430 eV per atom

Lattice parameters (Å, degrees): 5.336 5.336 5.336 60.00 60.00 60.00
Sites, in units of the cell vectors:
In1 0.500 0.500 0.500
Pt1 0.000 0.000 0.000
Pb1 0.250 0.250 0.250
Ac1 0.750 0.750 0.750



Density functional theory data (PBE) for an optimized crystal structure of ErHg2Pb.

Summary:
Space-group type ... Pmmn, No. 59
E ... -2.4489 eV/atom
D(E_F) ... 4.8 states/eV/cell
Energy of formation ... -0.230 eV per atom

Lattice parameters (Å, degrees): 5.655 5.655 6.545 90.00 90.00 90.00
Sites, in units of the cell vectors:
Hg1 0.000 0.756 0.250
Hg2 0.000 0.756 0.750
Hg3 0.500 0.244 0.750
Hg4 0.500 0.244 0.250
Pb1 0.000 0.255 0.000
Pb2 0.500 0.745 0.500
Er1 0.000 0.255 0.500
Er2 0.500 0.745 0.000



Density functional theory data (PBE) for an optimized crystal structure of Ti2CuOs.

Summary:
Space-group type ... I-42d, No. 122
E ... -7.6054 eV/atom
D(E_F) ... 7.2 states/eV/cell
Energy of formation ... 0.174 eV per atom

Lattice parameters (Å, degrees): 6.918 6.918 5.558 51.51 51.51 90.00
Sites, in units of the cell vectors:
Ti1 0.633 0.125 0.250
Ti2 0.375 0.367 0.750
Ti3 0.117 0.625 0.250
Ti4 0.875 0.883 0.750
Cu1 0.500 0.500 0.000
Cu2 0.250 0.750 0.500
Os1 0.000 0.000 0.000
Os2 0.750 0.250 0.500